A relaxed structure of BaAl2Mo, computed with PBE.

```
BaAl2Mo
1.0
3.568 0.000 0.000
0.000 3.190 0.008
0.000 3.192 7.858
Mo Ba Al
1 1 2
Direct
0.500 0.750 0.750 Mo
0.500 0.250 0.250 Ba
0.000 0.084 0.916 Al
0.000 0.416 0.584 Al
```

Computed properties:
- density of states at the Fermi level (states/eV per cell) = 4.83
- total energy (eV per cell) = -19.8
- distance to the lowest polymorph of the same formula (meV per atom) = 0
- spin magnetization (μB per atom) = 0.00
- volume (A^3/atom) = 22.335
- crystal system = monoclinic
- ΔH_f (0 K) (meV/atom) = 103